DFT (GGA-PBEsol) results for a relaxed structure of NpGa5Ni.

The value obtained for the uncorrected energy is -0.4064 Ry/atom. The calculation puts the formation energy at -0.2861 eV per atom. The calculation puts the magnetic moment at 0.4939 μB per atom.

It has space group P4/mmm (No. 123), with a = 4.167 Å, b = 4.167 Å, c = 6.721 Å, α = 90.00°, β = 90.00° and γ = 90.00°. The distinct sites, in fractional coordinates, are Np at (0.000, 0.000, 0.000), Ga at (0.000, 0.500, 0.305), Ga at (0.500, 0.500, 0.000) and Ni at (0.000, 0.000, 0.500).

DFT (GGA-PBEsol) results for a relaxed structure of CdPdSCl2.

The value obtained for the uncorrected energy is -0.2002 Ry/atom. The raw formation energy comes out at 1.939 eV per formula unit. The calculation puts the magnetic moment at 0.3640 μB per atom.

It has space group P4/mmm (No. 123), with a = 4.960 Å, b = 4.960 Å, c = 5.018 Å, α = 90.00°, β = 90.00° and γ = 90.00°. The distinct sites, in fractional coordinates, are Cd at (0.000, 0.000, 0.000), Pd at (0.500, 0.500, 0.500), S at (0.000, 0.000, 0.500) and Cl at (0.000, 0.500, 0.000).

DFT (GGA-PBEsol) results for a relaxed structure of SrAlFe.

The value obtained for the uncorrected energy is -0.3394 Ry/atom. The calculation puts the formation energy at 0.3468 eV per atom. The calculation puts the magnetic moment at 0.5515 μB per atom.

It has space group P-6m2 (No. 187), with a = 4.2630 Å, b = 4.2630 Å, c = 4.4676 Å, α = 90.00°, β = 90.00° and γ = 120.00°. The distinct sites, in fractional coordinates, are Sr at (0.0000, 0.0000, 0.0000), Al at (0.3333, 0.6667, 0.5000) and Fe at (0.6667, 0.3333, 0.5000).

DFT (GGA-PBEsol) results for a relaxed structure of SrCr4.

The value obtained for the uncorrected energy is -0.4356 Ry/atom. The calculation puts the formation energy at 2.6352 eV per atom. The calculation puts the magnetic moment at 3.4664 μB per atom.

It has space group Im-3m (No. 229), with a = 6.281 Å, b = 6.281 Å, c = 6.281 Å, α = 90.00°, β = 90.00° and γ = 90.00°. The distinct sites, in fractional coordinates, are Sr at (0.000, 0.000, 0.000) and Cr at (0.250, 0.250, 0.250).

DFT (GGA-PBEsol) results for a relaxed structure of MgRh.

The value obtained for the uncorrected energy is -0.3883 Ry/atom. The calculation puts the formation energy at -0.3553 eV per atom. The calculation puts the magnetic moment at 0.0000 μB per atom.

It has space group C2/m (No. 12), with a = 9.839 Å, b = 2.882 Å, c = 4.590 Å, α = 90.00°, β = 111.72° and γ = 90.00°. The distinct sites, in fractional coordinates, are Mg at (0.110, 0.000, 0.305) and Rh at (0.140, 0.500, 0.815).

DFT (GGA-PBEsol) results for a relaxed structure of MnCrAu2O.

The value obtained for the uncorrected energy is -0.4729 Ry/atom. The raw formation energy comes out at 0.930 eV per formula unit. The calculation puts the magnetic moment at 1.3163 μB per atom.

It has space group P4/mmm (No. 123), with a = 4.951 Å, b = 4.951 Å, c = 3.391 Å, α = 90.00°, β = 90.00° and γ = 90.00°. The distinct sites, in fractional coordinates, are Mn at (0.000, 0.000, 0.000), Cr at (0.500, 0.500, 0.500), Au at (0.000, 0.500, 0.000) and O at (0.000, 0.000, 0.500).